! CsAl2CdPt PBE-GGA optimized geometry; values from VASP
! space group	P4/mmm
! energy of formation	1.927	eV per atom
! total moment	0.0	μB/cell
&SYSTEM
  ibrav = 0, nat = 5, ntyp = 4
/
ATOMIC_SPECIES
Al 26.98 Al.upf
Cd 112.41 Cd.upf
Pt 195.08 Pt.upf
Cs 132.91 Cs.upf
CELL_PARAMETERS angstrom
6.1173 0.0000 0.0000
0.0000 6.1332 0.0000
0.0000 0.0000 6.1173
ATOMIC_POSITIONS angstrom
Al 0.0000 0.0000 3.0587
Al 3.0587 0.0000 0.0000
Cd 0.0000 3.0666 0.0000
Pt 3.0587 3.0666 3.0587
Cs 0.0000 0.0000 0.0000

! CuSb2Cl8 PBE-GGA optimized geometry; values from VASP
! energy above the most stable polymorph in this dataset	23.1	meV per atom
! formation energy without anion corrections	-691	kJ/mol of formula units
! space group	C2/m
! total moment	1.0	μB/cell
&SYSTEM
  ibrav = 0, nat = 11, ntyp = 3
/
ATOMIC_SPECIES
Cl 35.45 Cl.upf
Sb 121.76 Sb.upf
Cu 63.55 Cu.upf
CELL_PARAMETERS angstrom
7.5066 0.8998 0.6827
1.0982 7.6750 0.2824
1.0982 2.3386 7.3155
ATOMIC_POSITIONS angstrom
Cl 7.1214 7.3442 5.5724
Cl 2.5815 3.5692 2.7082
Cl 3.5772 8.6621 6.5724
Cl 7.0016 6.3519 1.4912
Cl 2.7014 4.5614 6.7894
Cl 2.7014 7.7669 2.5648
Cl 7.0016 3.1464 5.7158
Cl 6.1257 2.2513 1.7082
Sb 3.1110 1.7408 1.3209
Sb 6.5920 9.1725 6.9597
Cu 0.0000 0.0000 0.0000

! MoAs2Cl PBE-GGA optimized geometry; values from VASP
! energy above the most stable polymorph in this dataset	628.1	meV per atom
! formation energy without anion corrections	188	kJ/mol of formula units
! space group	I4/mmm
! total moment	0.0	μB/cell
&SYSTEM
  ibrav = 0, nat = 4, ntyp = 3
/
ATOMIC_SPECIES
As 74.92 As.upf
Mo 95.94 Mo.upf
Cl 35.45 Cl.upf
CELL_PARAMETERS angstrom
-2.0728 -0.1261 4.4828
3.4996 -1.4024 3.1928
0.0263 3.5682 -3.4169
ATOMIC_POSITIONS angstrom
As 0.7134 -0.7642 3.8378
As 0.0000 0.0000 0.0000
Mo -0.6666 1.3389 2.4518
Cl 2.1196 0.7008 1.8068

Look up the total moment of the first one.
0.0 μB/cell